1.
# V2CrRe

An optimized crystal structure of V2CrRe (GGA-PBEsol, Alexandria via LeMat-Bulk).

Its total energy is -10.9692 eV per atom. The calculation puts the density of states at the Fermi level at 7.66 states/eV per cell. As for the energy of formation: -0.2585 eV/atom.

a b c (Å): 5.8976 5.8976 5.8976
angles (deg): 90.00 90.00 90.00
Closest atoms and distances in Å follow each position.
Space group Fm-3m (No. 225)
Inequivalent atoms, fractional coordinates:
V1 0.2500 0.2500 0.2500 (multiplicity 8)  4 Cr 2.55, 4 Re 2.55
Cr1 0.0000 0.0000 0.0000 (multiplicity 4)  8 V 2.55
Re1 0.0000 0.0000 0.5000 (multiplicity 4)  8 V 2.55

2.
# CrRe2W

An optimized crystal structure of CrRe2W (GGA-PBEsol, Alexandria via LeMat-Bulk).

Its total energy is -12.4311 eV per atom. The calculation puts the density of states at the Fermi level at 4.11 states/eV per cell. As for the energy of formation: 0.2473 eV/atom.

a b c (Å): 2.7244 3.8598 5.4254
angles (deg): 90.00 90.00 90.00
Closest atoms and distances in Å follow each position.
Space group Pmm2 (No. 25)
Inequivalent atoms, fractional coordinates:
Cr1 0.0000 0.0000 0.0000 (multiplicity 1)  6 Re 2.65-2.78, 4 W 2.72, 2 Cr 2.72
Re1 0.0000 0.0000 0.4885 (multiplicity 1)  2 Cr 2.65-2.78, 6 Re 2.72, 4 W 2.76
Re2 0.5000 0.5000 0.2388 (multiplicity 1)  2 W 2.64-2.78, 4 Cr 2.69, 6 Re 2.72
W1 0.5000 0.5000 0.7518 (multiplicity 1)  6 Re 2.64-2.78, 4 Cr 2.72, 2 W 2.72

3.
# CrReW

An optimized crystal structure of CrReW (GGA-PBEsol, Alexandria via LeMat-Bulk).

Its total energy is -12.3880 eV per atom. The calculation puts the density of states at the Fermi level at 5.54 states/eV per cell. The value obtained for the excess energy over the best structure of this formula in the dataset is 0.00 kcal/mol of atoms. As for the energy of formation: 0.0725 eV/atom.

a b c (Å): 3.0314 3.0314 9.0779
angles (deg): 90.00 90.00 90.00
Closest atoms and distances in Å follow each position.
Space group I4mm (No. 107)
Inequivalent atoms, fractional coordinates:
Cr1 0.0000 0.0000 0.0000 (multiplicity 2)  4 W 2.58, 4 Re 2.62
Re1 0.0000 0.0000 0.6658 (multiplicity 2)  4 Cr 2.62, 4 W 2.67
W1 0.0000 0.0000 0.3412 (multiplicity 2)  4 Cr 2.58, 4 Re 2.67

4.
# CrReW

An optimized crystal structure of CrReW (GGA-PBEsol, Alexandria via LeMat-Bulk).

Its total energy is -12.3626 eV per atom. The calculation puts the density of states at the Fermi level at 2.93 states/eV per cell. The value obtained for the excess energy over the best structure of this formula in the dataset is 0.59 kcal/mol of atoms. As for the energy of formation: 0.0979 eV/atom.

a b c (Å): 4.2689 4.2689 2.6601
angles (deg): 90.00 90.00 120.00
Closest atoms and distances in Å follow each position.
Space group P3m1 (No. 156)
Inequivalent atoms, fractional coordinates:
Cr1 0.0000 0.0000 0.0000 (multiplicity 1)  3 W 2.61, 3 Re 2.62, 2 Cr 2.66
Re1 0.3333 0.6667 0.6637 (multiplicity 1)  3 Cr 2.62, 3 W 2.63, 2 Re 2.66
W1 0.6667 0.3333 0.3182 (multiplicity 1)  3 Cr 2.61, 3 Re 2.63, 2 W 2.66

5.
# CrRe2W

An optimized crystal structure of CrRe2W (GGA-PBEsol, Alexandria via LeMat-Bulk).

Its total energy is -12.5804 eV per atom. The calculation puts the density of states at the Fermi level at 6.63 states/eV per cell. As for the energy of formation: 0.0980 eV/atom.

a b c (Å): 3.0489 4.3157 8.5848
angles (deg): 90.00 90.00 90.00
Closest atoms and distances in Å follow each position.
Space group Imm2 (No. 44)
Inequivalent atoms, fractional coordinates:
Cr1 0.0000 0.0000 0.0000 (multiplicity 2)  2 W 2.52, 6 Re 2.64
Re1 0.0000 0.0000 0.5124 (multiplicity 2)  4 Cr 2.64, 2 W 2.66, 2 Re 2.71
Re2 0.0000 0.5000 0.7509 (multiplicity 2)  2 Cr 2.64, 4 W 2.65, 2 Re 2.71
W1 0.0000 0.5000 0.2663 (multiplicity 2)  2 Cr 2.52, 6 Re 2.65-2.66

6.
# CrRe2W

An optimized crystal structure of CrRe2W (GGA-PBEsol, Alexandria via LeMat-Bulk).

Its total energy is -12.5428 eV per atom. The calculation puts the density of states at the Fermi level at 4.32 states/eV per cell. As for the energy of formation: 0.1356 eV/atom.

a b c (Å): 2.6729 4.2658 5.0670
angles (deg): 90.00 100.80 90.00
Closest atoms and distances in Å follow each position.
Space group Pm (No. 6)
Inequivalent atoms, fractional coordinates:
Cr1 0.0000 0.0000 0.0000 (multiplicity 1)  2 W 2.58, 4 Re 2.58-2.69, 2 Cr 2.67
Re1 0.4511 0.0000 0.4971 (multiplicity 1)  2 Cr 2.58-2.69, 2 W 2.65, 4 Re 2.67-2.68
Re2 0.7377 0.5000 0.2435 (multiplicity 1)  2 W 2.60-2.67, 2 Cr 2.62, 4 Re 2.67-2.68
W1 0.2123 0.5000 0.7569 (multiplicity 1)  2 Cr 2.58, 4 Re 2.60-2.67, 2 W 2.67

7.
# Cr4ReW

An optimized crystal structure of Cr4ReW (GGA-PBEsol, Alexandria via LeMat-Bulk).

Its total energy is -11.3168 eV per atom. The calculation puts the density of states at the Fermi level at 34.68 states/eV per cell. As for the energy of formation: 0.0345 eV/atom.

a b c (Å): 6.6845 6.6845 6.6845
angles (deg): 90.00 90.00 90.00
Closest atoms and distances in Å follow each position.
Space group F-43m (No. 216)
Inequivalent atoms, fractional coordinates:
Cr1 0.1245 0.1245 0.3755 (multiplicity 16)  6 Cr 2.35-2.37
Re1 0.0000 0.0000 0.0000 (multiplicity 4)  12 Cr 2.77, 4 W 2.89
W1 0.2500 0.2500 0.7500 (multiplicity 4)  12 Cr 2.77, 4 Re 2.89

8.
# YCrRe2

An optimized crystal structure of YCrRe2 (GGA-PBEsol, Alexandria via LeMat-Bulk).

Its total energy is -10.4717 eV per atom. The calculation puts the density of states at the Fermi level at 8.85 states/eV per cell. The value obtained for the excess energy over the best structure of this formula in the dataset is 4.69 kcal/mol of atoms. As for the energy of formation: 0.4604 eV/atom.

a b c (Å): 6.2859 6.2859 6.2859
angles (deg): 90.00 90.00 90.00
Closest atoms and distances in Å follow each position.
Space group Fm-3m (No. 225)
Inequivalent atoms, fractional coordinates:
Y1 0.0000 0.0000 0.0000 (multiplicity 4)  8 Re 2.72
Cr1 0.0000 0.0000 0.5000 (multiplicity 4)  8 Re 2.72
Re1 0.2500 0.2500 0.2500 (multiplicity 8)  4 Cr 2.72, 4 Y 2.72

9.
# YCrRe2

An optimized crystal structure of YCrRe2 (GGA-PBEsol, Alexandria via LeMat-Bulk).

Its total energy is -10.6750 eV per atom. The calculation puts the density of states at the Fermi level at 3.37 states/eV per cell. The value obtained for the excess energy over the best structure of this formula in the dataset is 0.00 kcal/mol of atoms. As for the energy of formation: 0.2571 eV/atom.

a b c (Å): 3.0238 3.0238 7.1274
angles (deg): 90.00 90.00 90.00
Closest atoms and distances in Å follow each position.
Space group P4/mmm (No. 123)
Inequivalent atoms, fractional coordinates:
Y1 0.0000 0.0000 0.0000 (multiplicity 1)  4 Y 3.02, 8 Re 3.06
Cr1 0.0000 0.0000 0.5000 (multiplicity 1)  8 Re 2.54
Re1 0.5000 0.5000 0.3071 (multiplicity 2)  4 Cr 2.54, 1 Re 2.75

10.
# YCrRe

An optimized crystal structure of YCrRe (GGA-PBEsol, Alexandria via LeMat-Bulk).

Its total energy is -9.8878 eV per atom. The calculation puts the density of states at the Fermi level at 6.21 states/eV per cell. As for the energy of formation: 0.2443 eV/atom.

a b c (Å): 3.0652 3.0652 10.9640
angles (deg): 90.00 90.00 90.00
Closest atoms and distances in Å follow each position.
Space group I4mm (No. 107)
Inequivalent atoms, fractional coordinates:
Y1 0.0000 0.0000 0.0000 (multiplicity 2)  5 Cr 3.05-3.34, 4 Y 3.07, 5 Re 3.07-3.30
Cr1 0.0000 0.0000 0.6952 (multiplicity 2)  4 Re 2.46
Re1 0.0000 0.0000 0.3013 (multiplicity 2)  4 Cr 2.46

11.
# ZrCrRe

An optimized crystal structure of ZrCrRe (GGA-PBEsol, Alexandria via LeMat-Bulk).

Its total energy is -10.7807 eV per atom. The calculation puts the density of states at the Fermi level at 1.89 states/eV per cell. As for the energy of formation: 0.1072 eV/atom.

a b c (Å): 4.3417 4.3417 2.8181
angles (deg): 90.00 90.00 120.00
Closest atoms and distances in Å follow each position.
Space group P3m1 (No. 156)
Inequivalent atoms, fractional coordinates:
Zr1 0.0000 0.0000 0.0000 (multiplicity 1)  3 Cr 2.69, 3 Re 2.70, 2 Zr 2.82
Cr1 0.3333 0.6667 0.3416 (multiplicity 1)  3 Re 2.65, 3 Zr 2.69, 2 Cr 2.82
Re1 0.6667 0.3333 0.6418 (multiplicity 1)  3 Cr 2.65, 3 Zr 2.70, 2 Re 2.82

12.
# Zr2CrRe

An optimized crystal structure of Zr2CrRe (GGA-PBEsol, Alexandria via LeMat-Bulk).

Its total energy is -10.3286 eV per atom. The calculation puts the density of states at the Fermi level at 18.16 states/eV per cell. The value obtained for the excess energy over the best structure of this formula in the dataset is 0.00 kcal/mol of atoms. As for the energy of formation: 0.1098 eV/atom.

a b c (Å): 6.3935 6.3935 6.3935
angles (deg): 90.00 90.00 90.00
Closest atoms and distances in Å follow each position.
Space group F-43m (No. 216)
Inequivalent atoms, fractional coordinates:
Zr1 0.0000 0.0000 0.0000 (multiplicity 4)  4 Re 2.77, 4 Zr 2.77
Zr2 0.2500 0.2500 0.2500 (multiplicity 4)  4 Cr 2.77, 4 Zr 2.77
Cr1 0.0000 0.0000 0.5000 (multiplicity 4)  4 Zr 2.77, 4 Re 2.77
Re1 0.2500 0.2500 0.7500 (multiplicity 4)  4 Cr 2.77, 4 Zr 2.77

13.
# Zr2CrRe

An optimized crystal structure of Zr2CrRe (GGA-PBEsol, Alexandria via LeMat-Bulk).

Its total energy is -10.2529 eV per atom. The calculation puts the density of states at the Fermi level at 4.56 states/eV per cell. The value obtained for the excess energy over the best structure of this formula in the dataset is 1.74 kcal/mol of atoms. As for the energy of formation: 0.1855 eV/atom.

a b c (Å): 2.8685 4.3645 5.3517
angles (deg): 90.00 98.15 90.00
Closest atoms and distances in Å follow each position.
Space group P2/m (No. 10)
Inequivalent atoms, fractional coordinates:
Zr1 0.2453 0.0000 0.2529 (multiplicity 2)  2 Cr 2.70, 2 Re 2.72, 4 Zr 2.83-2.87
Cr1 0.0000 0.5000 0.5000 (multiplicity 1)  4 Zr 2.70, 2 Re 2.85, 2 Cr 2.87
Re1 0.5000 0.5000 0.0000 (multiplicity 1)  4 Zr 2.72, 2 Cr 2.85, 2 Re 2.87

14.
# Cr3Rh4

An optimized crystal structure of Cr3Rh4 (GGA-PBEsol, Alexandria via LeMat-Bulk).

Its total energy is -9.0691 eV per atom. The calculation puts the density of states at the Fermi level at 13.65 states/eV per cell. The value obtained for the excess energy over the best structure of this formula in the dataset is 0.00 kcal/mol of atoms. As for the energy of formation: -0.0291 eV/atom.

a b c (Å): 2.6256 2.6256 25.5165
angles (deg): 90.00 90.00 90.00
Closest atoms and distances in Å follow each position.
Space group I4/mmm (No. 139)
Inequivalent atoms, fractional coordinates:
Cr1 0.0000 0.0000 0.0000 (multiplicity 2)  8 Rh 2.53, 4 Cr 2.63
Cr2 0.0000 0.0000 0.2852 (multiplicity 4)  4 Rh 2.52, 8 Cr 2.58-2.63
Rh1 0.0000 0.0000 0.1478 (multiplicity 4)  4 Cr 2.52, 8 Rh 2.63-2.76
Rh2 0.0000 0.0000 0.4324 (multiplicity 4)  4 Cr 2.53, 8 Rh 2.63-2.76

15.
# Cr5Rh

An optimized crystal structure of Cr5Rh (GGA-PBEsol, Alexandria via LeMat-Bulk).

Its total energy is -9.8307 eV per atom. The calculation puts the density of states at the Fermi level at 5.53 states/eV per cell. As for the energy of formation: 0.0607 eV/atom.

a b c (Å): 2.8233 2.8233 8.7973
angles (deg): 90.00 90.00 90.00
Closest atoms and distances in Å follow each position.
Space group P4/mmm (No. 123)
Inequivalent atoms, fractional coordinates:
Cr1 0.0000 0.0000 0.0000 (multiplicity 1)  10 Cr 2.44-2.73
Cr2 0.0000 0.0000 0.3107 (multiplicity 2)  4 Cr 2.39, 4 Rh 2.60
Cr3 0.5000 0.5000 0.1603 (multiplicity 2)  8 Cr 2.39-2.44
Rh1 0.5000 0.5000 0.5000 (multiplicity 1)  8 Cr 2.60, 4 Rh 2.82

16.
# Cr3Rh4

An optimized crystal structure of Cr3Rh4 (GGA-PBEsol, Alexandria via LeMat-Bulk).

Its total energy is -9.0441 eV per atom. The calculation puts the density of states at the Fermi level at 7.07 states/eV per cell. The value obtained for the excess energy over the best structure of this formula in the dataset is 0.58 kcal/mol of atoms. As for the energy of formation: -0.0041 eV/atom.

a b c (Å): 4.5934 4.5934 4.8193
angles (deg): 90.00 90.00 120.00
Closest atoms and distances in Å follow each position.
Space group P6/mmm (No. 191)
Inequivalent atoms, fractional coordinates:
Cr1 0.0000 0.5000 0.0000 (multiplicity 3)  4 Cr 2.30
Rh1 0.0000 0.0000 0.2537 (multiplicity 2)  2 Rh 2.37-2.45, 6 Cr 2.60
Rh2 0.3333 0.6667 0.5000 (multiplicity 2)  9 Rh 2.65-2.91, 6 Cr 2.75

17.
# CrRuRh

An optimized crystal structure of CrRuRh (GGA-PBEsol, Alexandria via LeMat-Bulk).

Its total energy is -9.4823 eV per atom. The calculation puts the density of states at the Fermi level at 7.71 states/eV per cell. The value obtained for the excess energy over the best structure of this formula in the dataset is 0.00 kcal/mol of atoms. As for the energy of formation: 0.0353 eV/atom.

a b c (Å): 2.6398 2.6398 10.9472
angles (deg): 90.00 90.00 90.00
Closest atoms and distances in Å follow each position.
Space group I4mm (No. 107)
Inequivalent atoms, fractional coordinates:
Cr1 0.0000 0.0000 0.0000 (multiplicity 2)  4 Ru 2.54, 4 Rh 2.57, 4 Cr 2.64
Ru1 0.0000 0.0000 0.3430 (multiplicity 2)  4 Cr 2.54, 4 Ru 2.64, 4 Rh 2.73
Rh1 0.0000 0.0000 0.6611 (multiplicity 2)  4 Cr 2.57, 4 Rh 2.64, 4 Ru 2.73

18.
# CrRuRh

An optimized crystal structure of CrRuRh (GGA-PBEsol, Alexandria via LeMat-Bulk).

Its total energy is -8.6344 eV per atom. The calculation puts the density of states at the Fermi level at 22.48 states/eV per cell. The value obtained for the excess energy over the best structure of this formula in the dataset is 19.55 kcal/mol of atoms. As for the energy of formation: 0.8832 eV/atom.

a b c (Å): 5.7423 5.7423 5.7423
angles (deg): 90.00 90.00 90.00
Closest atoms and distances in Å follow each position.
Space group F-43m (No. 216)
Inequivalent atoms, fractional coordinates:
Cr1 0.0000 0.0000 0.0000 (multiplicity 4)  4 Rh 2.49
Ru1 0.0000 0.0000 0.5000 (multiplicity 4)  4 Rh 2.49
Rh1 0.2500 0.2500 0.7500 (multiplicity 4)  4 Cr 2.49, 4 Ru 2.49

19.
# CrRu2Rh

An optimized crystal structure of CrRu2Rh (GGA-PBEsol, Alexandria via LeMat-Bulk).

Its total energy is -9.6140 eV per atom. The calculation puts the density of states at the Fermi level at 8.31 states/eV per cell. As for the energy of formation: 0.0673 eV/atom.

a b c (Å): 8.7095 2.6419 4.5656
angles (deg): 90.00 100.99 90.00
Closest atoms and distances in Å follow each position.
Space group C2/m (No. 12)
Inequivalent atoms, fractional coordinates:
Cr1 0.0000 0.0000 0.0000 (multiplicity 2)  6 Ru 2.56-2.66, 4 Rh 2.64, 2 Cr 2.64
Ru1 0.2439 0.5000 0.2390 (multiplicity 4)  3 Cr 2.56-2.66, 6 Ru 2.57-2.71, 3 Rh 2.63-2.67
Rh1 0.0000 0.5000 0.5000 (multiplicity 2)  6 Ru 2.63-2.67, 4 Cr 2.64, 2 Rh 2.64

20.
# CrRu2Rh

An optimized crystal structure of CrRu2Rh (GGA-PBEsol, Alexandria via LeMat-Bulk).

Its total energy is -9.6192 eV per atom. The calculation puts the density of states at the Fermi level at 4.65 states/eV per cell. As for the energy of formation: 0.0621 eV/atom.

a b c (Å): 2.6363 2.6363 7.4044
angles (deg): 90.00 90.00 90.00
Closest atoms and distances in Å follow each position.
Space group P4mm (No. 99)
Inequivalent atoms, fractional coordinates:
Cr1 0.0000 0.0000 0.0000 (multiplicity 1)  4 Rh 2.56, 4 Ru 2.59, 4 Cr 2.64
Ru1 0.0000 0.0000 0.5041 (multiplicity 1)  8 Ru 2.64, 4 Rh 2.71
Ru2 0.5000 0.5000 0.7565 (multiplicity 1)  4 Cr 2.59, 8 Ru 2.64
Rh1 0.5000 0.5000 0.2378 (multiplicity 1)  4 Cr 2.56, 4 Rh 2.64, 4 Ru 2.71

| no. | calculated density (g/cm³) |
| --- | --- |
| 1 | 11.0 |
| 2 | 17.7 |
| 3 | 16.8 |
| 4 | 16.7 |
| 5 | 17.9 |
| 6 | 17.8 |
| 7 | 12.9 |
| 8 | 13.7 |
| 9 | 13.1 |
| 10 | 10.5 |
| 11 | 11.9 |
| 12 | 10.7 |
| 13 | 10.5 |
| 14 | 10.7 |
| 15 | 8.6 |
| 16 | 10.7 |
| 17 | 11.1 |
| 18 | 9.0 |
| 19 | 11.5 |
| 20 | 11.5 |